# Li2PbN

An optimized crystal structure of Li2PbN (GGA-PBE, Alexandria).

Cell lengths 5.6935, 5.6935, 8.9017 Å; angles 90.00, 90.00, 90.00 degrees
With the nearest neighbours (Å) after each atom.
Space group I4_1/amd (No. 141, origin choice 2)
Asymmetric unit:
Li: 0.0000 0.0000 0.0000  2 N 1.81
Pb: 0.0000 0.2500 0.3750  12 Li 3.37-3.63, 4 Pb 3.61, 4 N 3.61
N: 0.0000 0.2500 0.8750  4 Li 1.81

Output
The calculation puts the volume at 289 Å³ per cell. As for the size of the total moment: 0.00 μB per formula unit. As for the energy above the most stable polymorph in this dataset: 0.000 eV per atom. For the mass density, the calculation gives 5411 kg/m³. For the formation energy without anion corrections, the calculation gives 0.22 eV/atom.


# Tm2BeCo2

An optimized crystal structure of Tm2BeCo2 (GGA-PBE, Alexandria).

Cell lengths 3.6331, 5.4886, 8.1823 Å; angles 90.00, 90.00, 90.00 degrees
With the nearest neighbours (Å) after each atom.
Space group Immm (No. 71)
Asymmetric unit:
Tm: 0.0000 0.0000 0.1974  6 Co 2.81-2.82, 2 Be 3.07
Be: 0.0000 0.5000 0.0000  4 Co 2.25
Co: 0.0000 0.2413 0.5000  2 Be 2.25

Output
The energy relative to the elements is -27 kJ per mole of atoms. The calculation puts the volume at 163 Å³ per cell. As for the size of the total moment: 0.00 μB per formula unit. As for the energy above the most stable polymorph in this dataset: 0.000 eV per atom. For the mass density, the calculation gives 9460 kg/m³.


# Nd3Zr

An optimized crystal structure of Nd3Zr (GGA-PBE, Alexandria).

Cell lengths 5.0025, 5.0025, 5.0025 Å; angles 90.00, 90.00, 90.00 degrees
With the nearest neighbours (Å) after each atom.
Space group Pm-3m (No. 221)
Asymmetric unit:
Nd: 0.0000 0.0000 0.5000  4 Zr 3.54, 8 Nd 3.54
Zr: 0.5000 0.5000 0.5000  12 Nd 3.54

Output
The energy relative to the elements is 14 kJ per mole of atoms. The calculation puts the volume at 125 Å³ per cell. As for the size of the total moment: 0.00 μB per formula unit. As for the energy above the most stable polymorph in this dataset: 0.000 eV per atom. For the mass density, the calculation gives 6950 kg/m³.


# NdNpRh

An optimized crystal structure of NdNpRh (GGA-PBE, Alexandria).

Cell lengths 11.1866, 3.7162, 8.1871 Å; angles 90.00, 126.18, 90.00 degrees
With the nearest neighbours (Å) after each atom.
Space group C2/m (No. 12)
Asymmetric unit:
Nd: 0.0776 0.0000 0.3643  5 Rh 3.07-3.29, 2 Np 3.29
Np: 0.1188 0.5000 0.0462  1 Np 2.29
Rh: 0.1748 0.5000 0.7300  2 Np 2.67

Output
The energy relative to the elements is -21 kJ per mole of atoms. The calculation puts the volume at 275 Å³ per cell. As for the size of the total moment: 0.00 μB per formula unit. For the mass density, the calculation gives 11706 kg/m³.


# TmPuCuPb

An optimized crystal structure of TmPuCuPb (GGA-PBE, Alexandria).

Cell lengths 7.3554, 7.3554, 7.3554 Å; angles 90.00, 90.00, 90.00 degrees
With the nearest neighbours (Å) after each atom.
Space group F-43m (No. 216)
Asymmetric unit:
Tm: 0.0000 0.0000 0.0000  4 Pb 3.18, 4 Cu 3.18
Pu: 0.0000 0.0000 0.5000  4 Cu 3.18, 4 Pb 3.18
Cu: 0.2500 0.2500 0.7500  4 Tm 3.18, 4 Pu 3.18
Pb: 0.2500 0.2500 0.2500  4 Pu 3.18, 4 Tm 3.18

Output
The energy relative to the elements is -10 kJ per mole of atoms. The calculation puts the volume at 398 Å³ per cell. As for the size of the total moment: 6.20 μB per formula unit. For the mass density, the calculation gives 11411 kg/m³.


# SbAsAu

An optimized crystal structure of SbAsAu (GGA-PBE, Alexandria).

Cell lengths 3.9146, 5.6746, 12.2039 Å; angles 90.00, 90.00, 90.00 degrees
With the nearest neighbours (Å) after each atom.
Space group Fmm2 (No. 42)
Asymmetric unit:
Sb: 0.0000 0.0000 0.0000  2 Au 2.82, 2 As 3.05
As: 0.0000 0.0000 0.6914  2 Au 2.62
Au: 0.0000 0.0000 0.3341  2 As 2.62, 2 Sb 2.82

Output
The calculation puts the volume at 271 Å³ per cell. As for the size of the total moment: 0.00 μB per formula unit. As for the energy above the most stable polymorph in this dataset: 0.274 eV per atom. For the mass density, the calculation gives 9645 kg/m³. For the formation energy without anion corrections, the calculation gives 0.24 eV/atom.


# CsRb2I6N

An optimized crystal structure of CsRb2I6N (GGA-PBE, Alexandria).

Cell lengths 12.3014, 12.3014, 12.3014 Å; angles 90.00, 90.00, 90.00 degrees
With the nearest neighbours (Å) after each atom.
Space group Fm-3m (No. 225)
Asymmetric unit:
Cs: 0.0000 0.0000 0.0000  6 I 3.55
Rb: 0.2500 0.2500 0.2500  12 I 4.38
I: 0.0000 0.0000 0.2889  1 N 2.60
N: 0.0000 0.0000 0.5000  6 I 2.60

Output
The calculation puts the volume at 1862 Å³ per cell. As for the size of the total moment: 0.00 μB per formula unit. For the mass density, the calculation gives 3851 kg/m³. For the formation energy without anion corrections, the calculation gives -0.33 eV/atom.


# LiCa2ZnCu6

An optimized crystal structure of LiCa2ZnCu6 (GGA-PBE, Alexandria).

Cell lengths 4.8711, 6.5896, 6.6006 Å; angles 81.87, 68.39, 68.64 degrees
With the nearest neighbours (Å) after each atom.
Space group P-1 (No. 2)
Asymmetric unit:
Li: 0.0000 0.0000 0.0000  6 Cu 2.50-2.69
Ca: 0.2477 0.3008 0.2042  7 Cu 3.09-3.17, 2 Zn 3.27-3.29, 2 Li 3.30-3.32
Zn: 0.5000 0.5000 0.5000  6 Cu 2.46-2.69
Cu: 0.2341 0.7610 0.2671  4 Cu 2.42-2.47, 1 Zn 2.47, 1 Li 2.51
Cu: 0.2501 0.9324 0.5676  6 Cu 2.46-2.71, 1 Li 2.69, 1 Zn 2.69
Cu: 0.2627 0.2396 0.7333  4 Cu 2.42-2.46, 1 Zn 2.46, 1 Li 2.50

Output
The energy relative to the elements is -5 kJ per mole of atoms. The calculation puts the volume at 183 Å³ per cell. As for the size of the total moment: 0.00 μB per formula unit. For the mass density, the calculation gives 4832 kg/m³.


Question: Number 1 is which compound?
Answer: Li2PbN


What did the third record say?
# Nd3Zr

An optimized crystal structure of Nd3Zr (GGA-PBE, Alexandria).

Cell lengths 5.0025, 5.0025, 5.0025 Å; angles 90.00, 90.00, 90.00 degrees
With the nearest neighbours (Å) after each atom.
Space group Pm-3m (No. 221)
Asymmetric unit:
Nd: 0.0000 0.0000 0.5000  4 Zr 3.54, 8 Nd 3.54
Zr: 0.5000 0.5000 0.5000  12 Nd 3.54

Output
The energy relative to the elements is 14 kJ per mole of atoms. The calculation puts the volume at 125 Å³ per cell. As for the size of the total moment: 0.00 μB per formula unit. As for the energy above the most stable polymorph in this dataset: 0.000 eV per atom. For the mass density, the calculation gives 6950 kg/m³.